[1]
# LaNdZnNi PBE optimized geometry
# D(E_F) = 0.79 states/eV per atom
# Final energy = -4.420 eV/atom
# Distance to the lowest polymorph of the same formula = 0.053 eV/atom
# ΔH_f (0 K) = -0.2326 eV per atom
data_LaNdZnNi
_chemical_formula_sum 'La4 Nd4 Zn4 Ni4'
_cell_length_a 7.261
_cell_length_b 7.261
_cell_length_c 7.261
_cell_angle_alpha 90.00
_cell_angle_beta 90.00
_cell_angle_gamma 90.00
_symmetry_space_group_name_H-M 'F -4 3 m'
_symmetry_Int_Tables_number 216
_symmetry_space_group_name_Hall 'F -4 2 3'
loop_
_atom_site_label
_atom_site_fract_x
_atom_site_fract_y
_atom_site_fract_z
_atom_site_occupancy
La1 0.000 0.000 0.000 1
Nd1 0.000 0.000 0.500 1
Zn1 0.250 0.250 0.250 1
Ni1 0.250 0.250 0.750 1

[2]
# La2HfSb3Rh4 PBE optimized geometry
# D(E_F) = 0.88 states/eV per atom
# E_form (uncorrected) = -0.90 eV/atom
# Final energy = -7.055 eV/atom
data_La2HfSb3Rh4
_chemical_formula_sum 'La2 Hf1 Sb3 Rh4'
_cell_length_a 4.422
_cell_length_b 4.422
_cell_length_c 11.178
_cell_angle_alpha 90.00
_cell_angle_beta 90.00
_cell_angle_gamma 90.00
_symmetry_space_group_name_H-M 'P -4 m 2'
_symmetry_Int_Tables_number 115
loop_
_symmetry_equiv_pos_as_xyz
'x,y,z'
'y,-x,-z'
'-x,-y,z'
'-y,x,-z'
'-x,y,z'
'-y,-x,-z'
'x,-y,z'
'y,x,-z'
loop_
_atom_site_label
_atom_site_fract_x
_atom_site_fract_y
_atom_site_fract_z
_atom_site_occupancy
La1 0.000 0.500 0.240 1
Hf1 0.000 0.000 0.500 1
Sb1 0.000 0.500 0.867 1
Sb2 0.500 0.500 0.500 1
Rh1 0.000 0.000 0.000 1
Rh2 0.000 0.500 0.634 1
Rh3 0.500 0.500 0.000 1

[3]
# PaCdGe2 PBE optimized geometry
# D(E_F) = 0.83 states/eV per atom
# Final energy = -4.976 eV/atom
# Distance to the lowest polymorph of the same formula = 0.273 eV/atom
# ΔH_f (0 K) = -0.0643 eV per atom
data_PaCdGe2
_chemical_formula_sum 'Pa4 Cd4 Ge8'
_cell_length_a 6.970
_cell_length_b 6.970
_cell_length_c 6.970
_cell_angle_alpha 90.00
_cell_angle_beta 90.00
_cell_angle_gamma 90.00
_symmetry_space_group_name_H-M 'F m -3 m'
_symmetry_Int_Tables_number 225
_symmetry_space_group_name_Hall '-F 4 2 3'
loop_
_atom_site_label
_atom_site_fract_x
_atom_site_fract_y
_atom_site_fract_z
_atom_site_occupancy
Pa1 0.000 0.000 0.000 1
Cd1 0.000 0.000 0.500 1
Ge1 0.250 0.250 0.250 1

[4]
# Zr2AlZn PBE optimized geometry
# D(E_F) = 0.73 states/eV per atom
# Final energy = -5.876 eV/atom
# ΔH_f (0 K) = -0.3479 eV per atom
data_Zr2AlZn
_chemical_formula_sum 'Zr4 Al2 Zn2'
_cell_length_a 4.343
_cell_length_b 4.343
_cell_length_c 8.065
_cell_angle_alpha 90.00
_cell_angle_beta 90.00
_cell_angle_gamma 90.00
_symmetry_space_group_name_H-M 'I 4/m m m'
_symmetry_Int_Tables_number 139
_symmetry_space_group_name_Hall '-I 4 2'
loop_
_atom_site_label
_atom_site_fract_x
_atom_site_fract_y
_atom_site_fract_z
_atom_site_occupancy
Zr1 0.000 0.500 0.250 1
Al1 0.000 0.000 0.000 1
Zn1 0.000 0.000 0.500 1

[5]
# AlTl PBE optimized geometry
# D(E_F) = 0.44 states/eV per atom
# Final energy = -2.739 eV/atom
# ΔH_f (0 K) = 0.3153 eV per atom
data_AlTl
_chemical_formula_sum 'Al4 Tl4'
_cell_length_a 4.546
_cell_length_b 4.546
_cell_length_c 9.405
_cell_angle_alpha 90.00
_cell_angle_beta 90.00
_cell_angle_gamma 90.00
_symmetry_space_group_name_H-M 'I 41/a m d'
_symmetry_Int_Tables_number 141
loop_
_symmetry_equiv_pos_as_xyz
'x,y,z'
'-x,-y,-z'
'-y+1/4,x+3/4,z+1/4'
'y+1/4,-x+3/4,-z+1/4'
'-x+1/2,-y,z+1/2'
'x+1/2,y,-z+1/2'
'y+1/4,-x+1/4,z+3/4'
'-y+1/4,x+1/4,-z+3/4'
'x,-y,-z'
'-x,y,z'
'-y+1/4,-x+1/4,-z+3/4'
'y+1/4,x+1/4,z+3/4'
'-x+1/2,y,-z+1/2'
'x+1/2,-y,z+1/2'
'y+1/4,x+3/4,-z+1/4'
'-y+1/4,-x+3/4,z+1/4'
'x+1/2,y+1/2,z+1/2'
'-x+1/2,-y+1/2,-z+1/2'
'-y+3/4,x+1/4,z+3/4'
'y+3/4,-x+1/4,-z+3/4'
'-x,-y+1/2,z'
'x,y+1/2,-z'
'y+3/4,-x+3/4,z+1/4'
'-y+3/4,x+3/4,-z+1/4'
'x+1/2,-y+1/2,-z+1/2'
'-x+1/2,y+1/2,z+1/2'
'-y+3/4,-x+3/4,-z+1/4'
'y+3/4,x+3/4,z+1/4'
'-x,y+1/2,-z'
'x,-y+1/2,z'
'y+3/4,x+1/4,-z+3/4'
'-y+3/4,-x+1/4,z+3/4'
loop_
_atom_site_label
_atom_site_fract_x
_atom_site_fract_y
_atom_site_fract_z
_atom_site_occupancy
Al1 0.000 0.250 0.375 1
Tl1 0.000 0.250 0.875 1

[6]
# CuNiTeN2 PBE optimized geometry
# D(E_F) = 0.77 states/eV per atom
# E_form (uncorrected) = 1.54 eV/atom
# Final energy = -4.397 eV/atom
# Distance to the lowest polymorph of the same formula = 0.326 eV/atom
data_CuNiTeN2
_chemical_formula_sum 'Cu1 Ni1 Te1 N2'
_cell_length_a 3.692
_cell_length_b 3.692
_cell_length_c 5.981
_cell_angle_alpha 90.00
_cell_angle_beta 90.00
_cell_angle_gamma 90.00
_symmetry_space_group_name_H-M 'P 4/m m m'
_symmetry_Int_Tables_number 123
_symmetry_space_group_name_Hall '-P 4 2'
loop_
_atom_site_label
_atom_site_fract_x
_atom_site_fract_y
_atom_site_fract_z
_atom_site_occupancy
Cu1 0.000 0.000 0.000 1
Ni1 0.500 0.500 0.500 1
Te1 0.000 0.000 0.500 1
N1 0.000 0.500 0.000 1

[7]
# Zn3SbS PBE optimized geometry
# D(E_F) = 0.58 states/eV per atom
# E_form (uncorrected) = 0.23 eV/atom
# Final energy = -2.184 eV/atom
# Distance to the lowest polymorph of the same formula = 0.000 eV/atom
data_Zn3SbS
_chemical_formula_sum 'Zn3 Sb1 S1'
_cell_length_a 4.733
_cell_length_b 4.733
_cell_length_c 4.733
_cell_angle_alpha 90.00
_cell_angle_beta 90.00
_cell_angle_gamma 90.00
_symmetry_space_group_name_H-M 'P m -3 m'
_symmetry_Int_Tables_number 221
_symmetry_space_group_name_Hall '-P 4 2 3'
loop_
_atom_site_label
_atom_site_fract_x
_atom_site_fract_y
_atom_site_fract_z
_atom_site_occupancy
Zn1 0.000 0.000 0.500 1
Sb1 0.500 0.500 0.500 1
S1 0.000 0.000 0.000 1

[8]
# CaP2Rh2 PBE optimized geometry
# D(E_F) = 0.65 states/eV per atom
# Final energy = -6.470 eV/atom
# ΔH_f (0 K) = -0.9653 eV per atom
data_CaP2Rh2
_chemical_formula_sum 'Ca2 P4 Rh4'
_cell_length_a 5.719
_cell_length_b 5.715
_cell_length_c 5.631
_cell_angle_alpha 90.00
_cell_angle_beta 120.33
_cell_angle_gamma 90.00
_symmetry_space_group_name_H-M 'C 1 2/m 1'
_symmetry_Int_Tables_number 12
loop_
_symmetry_equiv_pos_as_xyz
'x,y,z'
'-x,-y,-z'
'-x,y,-z'
'x,-y,z'
'x+1/2,y+1/2,z'
'-x+1/2,-y+1/2,-z'
'-x+1/2,y+1/2,-z'
'x+1/2,-y+1/2,z'
loop_
_atom_site_label
_atom_site_fract_x
_atom_site_fract_y
_atom_site_fract_z
_atom_site_occupancy
Ca1 0.000 0.000 0.000 1
P1 0.116 0.500 0.231 1
Rh1 0.000 0.250 0.500 1

[9]
# LaTaPt2 PBE optimized geometry
# D(E_F) = 0.63 states/eV per atom
# Final energy = -7.732 eV/atom
# Distance to the lowest polymorph of the same formula = 0.258 eV/atom
# ΔH_f (0 K) = -0.5171 eV per atom
data_LaTaPt2
_chemical_formula_sum 'La2 Ta2 Pt4'
_cell_length_a 7.320
_cell_length_b 7.327
_cell_length_c 2.956
_cell_angle_alpha 90.00
_cell_angle_beta 90.00
_cell_angle_gamma 90.00
_symmetry_space_group_name_H-M 'C m m m'
_symmetry_Int_Tables_number 65
_symmetry_space_group_name_Hall '-C 2 2'
loop_
_atom_site_label
_atom_site_fract_x
_atom_site_fract_y
_atom_site_fract_z
_atom_site_occupancy
La1 0.000 0.000 0.000 1
Ta1 0.000 0.500 0.000 1
Pt1 0.250 0.250 0.500 1

[10]
# KTaOsC2 PBE optimized geometry
# D(E_F) = 1.05 states/eV per atom
# Final energy = -5.870 eV/atom
# ΔH_f (0 K) = 2.6559 eV per atom
data_KTaOsC2
_chemical_formula_sum 'K1 Ta1 Os1 C2'
_cell_length_a 4.036
_cell_length_b 4.036
_cell_length_c 5.728
_cell_angle_alpha 90.00
_cell_angle_beta 90.00
_cell_angle_gamma 90.00
_symmetry_space_group_name_H-M 'P 4/m m m'
_symmetry_Int_Tables_number 123
_symmetry_space_group_name_Hall '-P 4 2'
loop_
_atom_site_label
_atom_site_fract_x
_atom_site_fract_y
_atom_site_fract_z
_atom_site_occupancy
K1 0.000 0.000 0.000 1
Ta1 0.500 0.500 0.000 1
Os1 0.000 0.000 0.500 1
C1 0.000 0.500 0.500 1

[11]
# BaSr2TlO4 PBE optimized geometry
# D(E_F) = 0.18 states/eV per atom
# E_form (uncorrected) = -2.04 eV/atom
# Final energy = -5.471 eV/atom
data_BaSr2TlO4
_chemical_formula_sum 'Ba4 Sr8 Tl4 O16'
_cell_length_a 3.744
_cell_length_b 12.777
_cell_length_c 13.065
_cell_angle_alpha 90.00
_cell_angle_beta 90.00
_cell_angle_gamma 90.00
_symmetry_space_group_name_H-M 'C m c m'
_symmetry_Int_Tables_number 63
_symmetry_space_group_name_Hall '-C 2c 2'
loop_
_atom_site_label
_atom_site_fract_x
_atom_site_fract_y
_atom_site_fract_z
_atom_site_occupancy
Ba1 0.000 0.128 0.250 1
Sr1 0.000 0.373 0.035 1
Tl1 0.000 0.138 0.750 1
O1 0.000 0.000 0.000 1
O2 0.000 0.261 0.618 1
O3 0.000 0.470 0.250 1

[12]
# Ba7Sr12Ca PBE optimized geometry
# D(E_F) = 2.03 states/eV per atom
# Final energy = -1.278 eV/atom
# Distance to the lowest polymorph of the same formula = 0.061 eV/atom
# ΔH_f (0 K) = 0.5044 eV per atom
data_Ba7Sr12Ca
_chemical_formula_sum 'Ba14 Sr24 Ca2'
_cell_length_a 14.524
_cell_length_b 14.524
_cell_length_c 14.524
_cell_angle_alpha 90.00
_cell_angle_beta 90.00
_cell_angle_gamma 90.00
_symmetry_space_group_name_H-M 'I m -3'
_symmetry_Int_Tables_number 204
_symmetry_space_group_name_Hall '-I 2 2 3'
loop_
_atom_site_label
_atom_site_fract_x
_atom_site_fract_y
_atom_site_fract_z
_atom_site_occupancy
Ba1 0.000 0.000 0.500 1
Ba2 0.250 0.250 0.250 1
Sr1 0.000 0.253 0.354 1
Ca1 0.000 0.000 0.000 1

[13]
# SiSnSbTe2 PBE optimized geometry
# D(E_F) = 0.75 states/eV per atom
# E_form (uncorrected) = 0.67 eV/atom
# Final energy = -3.295 eV/atom
# Distance to the lowest polymorph of the same formula = 0.293 eV/atom
data_SiSnSbTe2
_chemical_formula_sum 'Si1 Sn1 Sb1 Te2'
_cell_length_a 5.862
_cell_length_b 5.862
_cell_length_c 5.013
_cell_angle_alpha 90.00
_cell_angle_beta 90.00
_cell_angle_gamma 90.00
_symmetry_space_group_name_H-M 'P 4/m m m'
_symmetry_Int_Tables_number 123
_symmetry_space_group_name_Hall '-P 4 2'
loop_
_atom_site_label
_atom_site_fract_x
_atom_site_fract_y
_atom_site_fract_z
_atom_site_occupancy
Si1 0.000 0.000 0.000 1
Sn1 0.500 0.500 0.000 1
Sb1 0.000 0.000 0.500 1
Te1 0.000 0.500 0.500 1